(1)
Material: PaVS4
Method: DFT, PBE
State: optimized geometry

Unit cell a=14.0392 b=3.8416 c=6.2760 alpha=90.00 beta=115.31 gamma=90.00
Space group C2/m (No. 12)
Unique sites:
Pa 0.0000 0.0000 0.0000 x2
V 0.0000 0.5000 0.5000 x2
S 0.1032 0.0000 0.7401 x4
S 0.1132 0.5000 0.2923 x4

Results
Total energy = -84.8 eV per cell
Formation energy (no corrections) = -1.21 eV/atom
Energy above the lowest structure with this stoichiometry = 0.000 eV per atom


(2)
Material: PaVS
Method: DFT, PBE
State: optimized geometry

Unit cell a=12.7964 b=3.2757 c=5.2246 alpha=90.00 beta=90.00 gamma=90.00
Space group Pnma (No. 62)
Unique sites:
Pa 0.2035 0.2500 0.0548 x4
V 0.0203 0.7500 0.8069 x4
S 0.1139 0.2500 0.5426 x4

Results
Total energy = -97.1 eV per cell
Formation energy (no corrections) = -0.51 eV/atom
Energy above the lowest structure with this stoichiometry = 0.122 eV per atom


(3)
Material: PaVS4
Method: DFT, PBE
State: optimized geometry

Unit cell a=6.1215 b=6.1215 c=6.6305 alpha=90.00 beta=90.00 gamma=90.00
Space group I-4 (No. 82)
Unique sites:
Pa 0.0000 0.0000 0.0000 x2
V 0.0000 0.5000 0.2500 x2
S 0.2117 0.7853 0.6593 x8

Results
Total energy = -82.4 eV per cell
Formation energy (no corrections) = -1.01 eV/atom
Energy above the lowest structure with this stoichiometry = 0.200 eV per atom


(4)
Material: PaVS
Method: DFT, PBE
State: optimized geometry

Unit cell a=3.0915 b=3.0915 c=11.9569 alpha=90.00 beta=90.00 gamma=90.00
Space group I4mm (No. 107)
Unique sites:
Pa 0.0000 0.0000 0.0000 x2
V 0.0000 0.0000 0.8072 x2
S 0.0000 0.0000 0.2271 x2

Results
Total energy = -46.6 eV per cell
Formation energy (no corrections) = -0.19 eV/atom
Energy above the lowest structure with this stoichiometry = 0.445 eV per atom


(5)
Material: PaVS
Method: DFT, PBE
State: optimized geometry

Unit cell a=4.1768 b=4.1768 c=3.4573 alpha=90.00 beta=90.00 gamma=120.00
Space group P-6m2 (No. 187)
Unique sites:
Pa 0.0000 0.0000 0.0000 x1
V 0.6667 0.3333 0.5000 x1
S 0.3333 0.6667 0.5000 x1

Results
Total energy = -24.6 eV per cell
Formation energy (no corrections) = -0.63 eV/atom
Energy above the lowest structure with this stoichiometry = 0.000 eV per atom


(6)
Material: PaWS2
Method: DFT, PBE
State: optimized geometry

Unit cell a=3.1437 b=3.1437 c=26.7976 alpha=90.00 beta=90.00 gamma=120.00
Space group R-3m (No. 166, hexagonal axes)
Unique sites:
Pa 0.0000 0.0000 0.0000 x3
W 0.0000 0.0000 0.5000 x3
S 0.0000 0.0000 0.1052 x6

Results
Total energy = -96.4 eV per cell
Formation energy (no corrections) = -0.36 eV/atom